Run A
DFT (PBE) results for an optimized crystal structure of CrNi4Pt2.

Geometry as POSCAR:
```
CrNi4Pt2
1.0
6.663 0.000 0.000
0.000 6.663 0.000
0.000 0.000 4.304
Cr Ni Pt
2 8 4
Direct
0.000 0.000 0.000
0.500 0.500 0.500
0.110 0.369 0.000
0.131 0.610 0.500
0.369 0.110 0.000
0.390 0.869 0.500
0.610 0.131 0.500
0.631 0.890 0.000
0.869 0.390 0.500
0.890 0.631 0.000
0.207 0.207 0.500
0.293 0.707 0.000
0.707 0.293 0.000
0.793 0.793 0.500
```

Summary:
DOS(E_F) = 11.82 states/eV/f.u.
Space group = P4_2/mnm

***

Run B
DFT (PBE) results for an optimized crystal structure of CrNi4Pt2.

Geometry as POSCAR:
```
CrNi4Pt2
1.0
-2.286 2.286 4.740
2.286 -2.286 4.740
2.286 2.286 -4.740
Cr Ni Pt
1 4 2
Direct
0.000 0.000 0.000
0.000 0.500 0.500
0.250 0.750 0.500
0.500 0.000 0.500
0.750 0.250 0.500
0.360 0.360 0.000
0.640 0.640 0.000
```

Summary:
DOS(E_F) = 12.38 states/eV/f.u.
Space group = I4/mmm

***

Energy comparison, zero being the most stable, in meV/atom: run A 0; run B 302.

***

Run A
DFT (PBE) results for an optimized crystal structure of CrNi2Pt8.

Geometry as POSCAR:
```
CrNi2Pt8
1.0
5.710 -3.521 0.000
5.710 3.521 0.000
-1.082 0.000 4.405
Cr Ni Pt
1 2 8
Direct
0.000 0.000 0.000
0.113 0.113 0.516
0.887 0.887 0.484
0.220 0.220 0.077
0.229 0.628 0.204
0.353 0.353 0.658
0.372 0.771 0.796
0.628 0.229 0.204
0.647 0.647 0.342
0.771 0.372 0.796
0.780 0.780 0.923
```

Summary:
DOS(E_F) = 17.70 states/eV/f.u.
Space group = C2/m

***

Run B
DFT (PBE) results for an optimized crystal structure of CrNi2Pt8.

Geometry as POSCAR:
```
CrNi2Pt8
1.0
6.967 -1.956 0.000
6.967 1.956 0.000
-1.722 0.000 5.925
Cr Ni Pt
1 2 8
Direct
0.000 0.000 0.000
0.275 0.275 0.368
0.725 0.725 0.632
0.097 0.097 0.449
0.181 0.181 0.916
0.362 0.362 0.812
0.453 0.453 0.271
0.547 0.547 0.729
0.638 0.638 0.188
0.819 0.819 0.084
0.903 0.903 0.551
```

Summary:
DOS(E_F) = 18.33 states/eV/f.u.
Space group = C2/m

***

Energy comparison, zero being the most stable, in meV/atom: run A 324; run B 0.

***

Run A
DFT (PBE) results for an optimized crystal structure of CrNi3Pt.

Geometry as POSCAR:
```
CrNi3Pt
1.0
4.168 0.000 0.000
0.000 4.168 0.000
0.000 0.000 4.168
Cr Ni Pt
1 3 1
Direct
0.000 0.000 0.000
0.000 0.000 0.500
0.000 0.500 0.000
0.500 0.000 0.000
0.500 0.500 0.500
```

Summary:
DOS(E_F) = 4.56 states/eV/f.u.
Space group = Pm-3m

***

Run B
DFT (PBE) results for an optimized crystal structure of CrNi3Pt.

Geometry as POSCAR:
```
CrNi3Pt
1.0
4.243 -2.446 0.000
4.243 2.446 0.000
-2.823 0.000 4.027
Cr Ni Pt
1 3 1
Direct
0.000 0.000 0.000
0.000 0.500 0.000
0.500 0.000 0.000
0.500 0.500 0.000
0.500 0.500 0.500
```

Summary:
DOS(E_F) = 10.37 states/eV/f.u.
Space group = C2/m

***

Run C
DFT (PBE) results for an optimized crystal structure of CrNi3Pt.

Geometry as POSCAR:
```
CrNi3Pt
1.0
6.556 -1.820 0.000
6.556 1.820 0.000
-1.006 0.000 5.022
Cr Ni Pt
2 6 2
Direct
0.001 0.001 0.274
0.999 0.999 0.726
0.200 0.200 0.839
0.202 0.202 0.359
0.401 0.401 0.450
0.599 0.599 0.550
0.798 0.798 0.641
0.800 0.800 0.161
0.397 0.397 0.948
0.603 0.603 0.052
```

Summary:
DOS(E_F) = 8.73 states/eV/f.u.
Space group = C2/m

***

Energy comparison, zero being the most stable, in meV/atom: run A 1127; run B 701; run C 0.

***

Run A
DFT (PBE) results for an optimized crystal structure of CrNi2Pt4.

Geometry as POSCAR:
```
CrNi2Pt4
1.0
-3.741 3.741 3.714
3.741 -3.741 3.714
3.741 3.741 -3.714
Cr Ni Pt
2 4 8
Direct
0.000 0.000 0.000
0.750 0.250 0.500
0.250 0.625 0.125
0.375 0.500 0.625
0.500 0.125 0.875
0.875 0.750 0.375
0.121 0.207 0.749
0.122 0.708 0.751
0.292 0.043 0.414
0.458 0.372 0.251
0.628 0.879 0.086
0.629 0.878 0.586
0.793 0.542 0.914
0.957 0.371 0.249
```

Summary:
DOS(E_F) = 9.55 states/eV/f.u.
Space group = I-42d

***

Run B
DFT (PBE) results for an optimized crystal structure of CrNi2Pt4.

Geometry as POSCAR:
```
CrNi2Pt4
1.0
3.438 -3.953 0.000
3.438 3.953 0.000
0.000 0.000 3.783
Cr Ni Pt
1 2 4
Direct
0.000 0.000 0.000
0.229 0.771 0.500
0.771 0.229 0.500
0.000 0.500 0.000
0.277 0.277 0.500
0.500 0.000 0.000
0.723 0.723 0.500
```

Summary:
DOS(E_F) = 9.91 states/eV/f.u.
Space group = Cmmm

***

Energy comparison, zero being the most stable, in meV/atom: run A 183; run B 0.

***

Run A
DFT (PBE) results for an optimized crystal structure of RbCr2Ni.

Geometry as POSCAR:
```
RbCr2Ni
1.0
-2.924 2.924 7.494
2.924 -2.924 7.494
2.924 2.924 -7.494
Rb Cr Ni
2 4 2
Direct
0.375 0.625 0.750
0.625 0.375 0.250
0.000 0.000 0.000
0.000 0.000 0.500
0.000 0.500 0.000
0.500 0.000 0.500
0.125 0.875 0.250
0.875 0.125 0.750
```

Summary:
DOS(E_F) = 3.27 states/eV/f.u.
Space group = I4_1/amd

***

Run B
DFT (PBE) results for an optimized crystal structure of RbCr2Ni.

Geometry as POSCAR:
```
RbCr2Ni
1.0
0.000 3.115 3.115
3.115 0.000 3.115
3.115 3.115 0.000
Rb Cr Ni
1 2 1
Direct
0.000 0.000 0.000
0.250 0.250 0.250
0.750 0.750 0.750
0.500 0.500 0.500
```

Summary:
DOS(E_F) = 11.35 states/eV/f.u.
Space group = Fm-3m

***

Energy comparison, zero being the most stable, in meV/atom: run A 0; run B 756.

***

Run A
DFT (PBE) results for an optimized crystal structure of RbCrNi2.

Geometry as POSCAR:
```
RbCrNi2
1.0
-2.500 2.500 8.057
2.500 -2.500 8.057
2.500 2.500 -8.057
Rb Cr Ni
2 2 4
Direct
0.375 0.625 0.750
0.625 0.375 0.250
0.125 0.875 0.250
0.875 0.125 0.750
0.000 0.000 0.000
0.000 0.000 0.500
0.000 0.500 0.000
0.500 0.000 0.500
```

Summary:
DOS(E_F) = 5.62 states/eV/f.u.
Space group = I4_1/amd

***

Run B
DFT (PBE) results for an optimized crystal structure of RbCrNi2.

Geometry as POSCAR:
```
RbCrNi2
1.0
0.000 3.320 3.320
3.320 0.000 3.320
3.320 3.320 0.000
Rb Cr Ni
1 1 2
Direct
0.000 0.000 0.000
0.500 0.500 0.500
0.250 0.250 0.250
0.750 0.750 0.750
```

Summary:
DOS(E_F) = 4.19 states/eV/f.u.
Space group = Fm-3m

***

Energy comparison, zero being the most stable, in meV/atom: run A 0; run B 319.